DFT (PBE) results for a relaxed structure of Sr3Mg2Cd.

Unit cell a=5.8842 b=17.6067 c=4.0983 alpha=90.00 beta=90.00 gamma=90.00
Space group Cmmm (No. 65)
Inequivalent atoms, fractional coordinates:
Sr  0.0000  0.0000  0.0000 x2
Sr  0.0000  0.3390  0.0000 x4
Mg  0.0000  0.1724  0.5000 x4
Cd  0.0000  0.5000  0.5000 x2

energy of formation from the pure elements: -0.150 eV per atom
DOS at the Fermi energy: 9.923 states/eV/cell
ΔE to the lowest computed polymorph: 0.0 kJ per mole of atoms